Run i
8
Lattice="-2.8107 2.8107 2.6334 2.8107 -2.8107 2.6334 2.8107 2.8107 -2.6334" Properties=species:S:1:pos:R:3 comment="LiNbC2, optimized geometry, DFT GGA-PBE" space_group="No. 122" n_ef_per_ev_cell=0.36 total_magnetization_mub_per_fu=0.000 pbc="T T T"
Li 0.0000 0.0000 0.0000
Li 0.0000 2.8107 1.3167
Nb 2.8107 0.0000 1.3167
Nb 0.0000 0.0000 2.6334
C 1.4053 1.3404 -0.6584
C 1.4703 -1.4053 3.2918
C 1.4053 1.4703 1.9751
C 1.3404 4.2160 0.6584

Run ii
4
Lattice="0.0000 2.6863 2.6863 2.6863 0.0000 2.6863 2.6863 2.6863 0.0000" Properties=species:S:1:pos:R:3 comment="LiNbC2, optimized geometry, DFT GGA-PBE" space_group="No. 225" n_ef_per_ev_cell=1.86 total_magnetization_mub_per_fu=0.000 pbc="T T T"
Li 0.0000 0.0000 0.0000
Nb 2.6863 2.6863 2.6863
C 1.3431 1.3431 1.3431
C 4.0294 4.0294 4.0294

Best to worst by energy: run i, run ii.

Run i
3
Lattice="0.0000 2.9557 2.9557 2.9557 0.0000 2.9557 2.9557 2.9557 0.0000" Properties=species:S:1:pos:R:3 comment="LiNdC, optimized geometry, DFT GGA-PBE" space_group="No. 216" total_magnetization_mub_per_fu=0.000 pbc="T T T"
Li 0.0000 0.0000 0.0000
Nd 2.9557 2.9557 2.9557
C 1.4779 1.4779 1.4779

Run ii
6
Lattice="3.9219 -1.8200 0.0000 3.9219 1.8200 0.0000 -3.0424 0.0000 9.5469" Properties=species:S:1:pos:R:3 comment="LiNdC, optimized geometry, DFT GGA-PBE" space_group="No. 8" n_ef_per_ev_cell=2.98 total_magnetization_mub_per_fu=0.000 pbc="T T T"
Li 0.0000 0.0000 0.0000
Li 2.4767 0.0000 8.1247
Nd 0.1996 0.0000 5.5709
Nd 5.7207 0.0000 2.7502
C 2.3782 0.0000 4.4999
C 3.5492 0.0000 3.8191

Best to worst by energy: run ii, run i.

Run i
20
Lattice="4.6839 0.0000 0.0000 0.0000 6.8171 0.0000 0.0000 0.0000 6.6146" Properties=species:S:1:pos:R:3 comment="LiNi3C, optimized geometry, DFT GGA-PBE" space_group="No. 62" n_ef_per_ev_cell=9.18 total_magnetization_mub_per_fu=0.000 pbc="T T T"
Li 0.0000 0.0000 0.0000
Li 0.0000 3.4085 0.0000
Li 2.3420 0.0000 3.3073
Li 2.3420 3.4085 3.3073
Ni 0.0542 0.5155 2.1525
Ni 0.0542 2.8930 2.1525
Ni 1.0278 1.7043 4.3258
Ni 1.3141 5.1128 1.0185
Ni 2.2878 3.9240 5.4598
Ni 2.2878 6.3015 5.4598
Ni 2.3962 0.5155 1.1548
Ni 2.3962 2.8930 1.1548
Ni 3.3698 1.7043 5.5961
Ni 3.6561 5.1128 2.2888
Ni 4.6297 3.9240 4.4621
Ni 4.6297 6.3015 4.4621
C 0.8750 5.1128 5.7696
C 1.4670 1.7043 2.4622
C 3.2169 5.1128 4.1524
C 3.8090 1.7043 0.8451

Run ii
5
Lattice="2.6546 0.0000 0.0000 0.0000 2.4258 6.3742 0.0000 -2.4258 6.3742" Properties=species:S:1:pos:R:3 comment="LiNi3C, optimized geometry, DFT GGA-PBE" space_group="No. 38" n_ef_per_ev_cell=2.05 total_magnetization_mub_per_fu=0.006 pbc="T T T"
Li 0.0000 0.0000 0.0000
Ni 0.0000 -1.2576 8.6050
Ni 0.0000 1.2576 8.6050
Ni 1.3273 0.0000 10.4781
C 1.3273 0.0000 8.6559

Run iii
10
Lattice="5.9248 -1.2909 0.0000 5.9248 1.2909 0.0000 -0.6372 0.0000 7.1123" Properties=species:S:1:pos:R:3 comment="LiNi3C, optimized geometry, DFT GGA-PBE" space_group="No. 12" n_ef_per_ev_cell=8.09 total_magnetization_mub_per_fu=0.000 pbc="T T T"
Li 1.0281 0.0000 0.5813
Li 10.1844 0.0000 6.5311
Ni 0.1289 0.0000 4.7736
Ni 1.7909 0.0000 2.9257
Ni 3.4140 0.0000 0.9659
Ni 7.7985 0.0000 6.1464
Ni 9.4216 0.0000 4.1867
Ni 11.0836 0.0000 2.3388
C 3.8373 0.0000 2.7775
C 7.3752 0.0000 4.3348

Run iv
20
Lattice="6.3743 0.0000 0.0000 0.0000 4.7654 0.0000 -4.0777 0.0000 6.5090" Properties=species:S:1:pos:R:3 comment="LiNi3C, optimized geometry, DFT GGA-PBE" space_group="No. 14" n_ef_per_ev_cell=7.20 total_magnetization_mub_per_fu=0.000 pbc="T T T"
Li 0.7239 0.8889 0.4842
Li -1.3150 1.4938 3.7387
Li 3.6116 3.2716 2.7703
Li 1.5728 3.8765 6.0248
Ni -2.9550 2.6167 5.2177
Ni -0.9162 4.5314 1.9632
Ni 1.2092 3.3184 1.1508
Ni -0.8297 3.8297 4.4053
Ni -1.1966 1.0893 6.1245
Ni 0.8422 1.2935 2.8699
Ni 1.4544 3.4720 3.6391
Ni 3.4932 3.6762 0.3846
Ni 3.1263 0.9357 2.1038
Ni 1.0875 1.4470 5.3583
Ni 3.2128 0.2340 4.5458
Ni 5.2517 2.1487 1.2913
C -0.1283 2.9797 2.6916
C -2.1672 4.1685 5.9461
C 4.4638 0.5969 0.5629
C 2.4250 1.7858 3.8174

Best to worst by energy: run iv, run i, run iii, run ii.

Run i
5
Lattice="3.9343 0.0000 0.0000 0.0000 3.9343 0.0000 0.0000 0.0000 3.9343" Properties=species:S:1:pos:R:3 comment="Li3NiC, optimized geometry, DFT GGA-PBE" space_group="No. 221" n_ef_per_ev_cell=2.67 total_magnetization_mub_per_fu=1.050 pbc="T T T"
Li 0.0000 0.0000 1.9672
Li 0.0000 1.9672 0.0000
Li 1.9672 0.0000 0.0000
Ni 1.9672 1.9672 1.9672
C 0.0000 0.0000 0.0000

Run ii
5
Lattice="4.4107 0.0000 0.0000 0.0000 4.4107 0.0000 0.0000 0.0000 4.4107" Properties=species:S:1:pos:R:3 comment="Li3NiC, optimized geometry, DFT GGA-PBE" space_group="No. 221" n_ef_per_ev_cell=2.59 total_magnetization_mub_per_fu=2.504 pbc="T T T"
Li 0.0000 0.0000 2.2053
Li 0.0000 2.2053 0.0000
Li 2.2053 0.0000 0.0000
Ni 0.0000 0.0000 0.0000
C 2.2053 2.2053 2.2053

Best to worst by energy: run i, run ii.

Run i
5
Lattice="3.6610 0.0000 0.0000 0.0000 3.6610 0.0000 0.0000 0.0000 4.2174" Properties=species:S:1:pos:R:3 comment="LiNi2PdC, optimized geometry, DFT GGA-PBE" space_group="No. 123" n_ef_per_ev_cell=1.73 total_magnetization_mub_per_fu=0.000 pbc="T T T"
Li 0.0000 0.0000 0.0000
Ni 0.0000 1.8305 2.1087
Ni 1.8305 0.0000 2.1087
Pd 1.8305 1.8305 0.0000
C 0.0000 0.0000 2.1087

Run ii
5
Lattice="3.7236 0.0000 0.0000 0.0000 3.7236 0.0000 0.0000 0.0000 4.2074" Properties=species:S:1:pos:R:3 comment="LiNi2PdC, optimized geometry, DFT GGA-PBE" space_group="No. 123" n_ef_per_ev_cell=3.94 total_magnetization_mub_per_fu=0.000 pbc="T T T"
Li 0.0000 0.0000 0.0000
Ni 0.0000 1.8618 2.1037
Ni 1.8618 0.0000 2.1037
Pd 1.8618 1.8618 0.0000
C 1.8618 1.8618 2.1037

Best to worst by energy: run ii, run i.

Run i
5
Lattice="4.5042 0.0000 0.0000 0.0000 4.5042 0.0000 0.0000 0.0000 3.6223" Properties=species:S:1:pos:R:3 comment="LiZnNi2C, optimized geometry, DFT GGA-PBE" space_group="No. 123" n_ef_per_ev_cell=4.29 total_magnetization_mub_per_fu=0.646 pbc="T T T"
Li 0.0000 0.0000 0.0000
Zn 2.2521 2.2521 1.8112
Ni 0.0000 2.2521 1.8112
Ni 2.2521 0.0000 1.8112
C 2.2521 2.2521 0.0000

Run ii
5
Lattice="3.7258 0.0000 0.0000 0.0000 3.7258 0.0000 0.0000 0.0000 3.9423" Properties=species:S:1:pos:R:3 comment="LiZnNi2C, optimized geometry, DFT GGA-PBE" space_group="No. 123" n_ef_per_ev_cell=3.62 total_magnetization_mub_per_fu=0.000 pbc="T T T"
Li 0.0000 0.0000 0.0000
Zn 1.8629 1.8629 0.0000
Ni 0.0000 1.8629 1.9712
Ni 1.8629 0.0000 1.9712
C 0.0000 0.0000 1.9712

Best to worst by energy: run ii, run i.

Run i
8
Lattice="-2.9434 2.9434 2.0840 2.9434 -2.9434 2.0840 2.9434 2.9434 -2.0840" Properties=species:S:1:pos:R:3 comment="Li2CO, optimized geometry, DFT GGA-PBE" space_group="No. 122" n_ef_per_ev_cell=3.38 total_magnetization_mub_per_fu=0.000 pbc="T T T"
Li 4.4151 1.0213 -0.5210
Li 1.0213 1.4717 0.5210
Li -1.4717 1.9221 1.5630
Li 1.9221 1.4717 2.6050
C 2.9434 0.0000 1.0420
C 0.0000 0.0000 2.0840
O 0.0000 0.0000 0.0000
O 0.0000 2.9434 1.0420

Run ii
4
Lattice="0.0000 2.5841 2.5841 2.5841 0.0000 2.5841 2.5841 2.5841 0.0000" Properties=species:S:1:pos:R:3 comment="Li2CO, optimized geometry, DFT GGA-PBE" space_group="No. 225" n_ef_per_ev_cell=1.99 total_magnetization_mub_per_fu=1.013 pbc="T T T"
Li 1.2921 1.2921 1.2921
Li 3.8762 3.8762 3.8762
C 0.0000 0.0000 0.0000
O 2.5841 2.5841 2.5841

Best to worst by energy: run i, run ii.

Run i
14
Lattice="3.0753 -4.6170 0.0000 3.0753 4.6170 0.0000 0.0000 0.0000 5.1879" Properties=species:S:1:pos:R:3 comment="Li2CO4, optimized geometry, DFT GGA-PBE" space_group="No. 63" n_ef_per_ev_cell=8.45 total_magnetization_mub_per_fu=2.000 pbc="T T T"
Li 1.3751 1.5151 1.2970
Li 1.3751 -1.5151 3.8910
Li 4.7756 1.5151 1.2970
Li 4.7756 -1.5151 3.8910
C 3.0753 3.3898 1.2970
C 3.0753 -3.3898 3.8910
O 1.1616 0.4845 3.8910
O 3.0753 2.5913 0.1689
O 3.0753 2.5913 2.4251
O 1.1616 -0.4845 1.2970
O 4.9890 0.4845 3.8910
O 3.0753 -2.5913 2.7629
O 3.0753 -2.5913 5.0190
O 4.9890 -0.4845 1.2970

Run ii
14
Lattice="4.8814 0.0000 0.0000 0.0000 5.6356 0.0000 -2.1102 0.0000 4.6576" Properties=species:S:1:pos:R:3 comment="Li2CO4, optimized geometry, DFT GGA-PBE" space_group="No. 11" n_ef_per_ev_cell=0.00 total_magnetization_mub_per_fu=0.000 pbc="T T T"
Li 0.5625 1.4089 0.2368
Li -0.2982 4.2267 2.7406
Li 3.0694 1.4089 1.9170
Li 2.2086 4.2267 4.4208
C 0.7088 1.4089 3.2992
C 2.0624 4.2267 1.3584
O 0.1245 1.4089 2.1397
O 0.8005 4.2267 1.1408
O -0.0298 0.1879 4.0289
O -0.0298 2.6299 4.0289
O 2.8009 3.0057 0.6286
O 2.8009 5.4477 0.6286
O 1.9707 1.4089 3.5167
O 2.6467 4.2267 2.5178

Best to worst by energy: run ii, run i.

Run i
5
Lattice="3.2332 0.0000 0.0000 0.0000 3.2332 0.0000 0.0000 0.0000 5.0662" Properties=species:S:1:pos:R:3 comment="LiPCO2, optimized geometry, DFT GGA-PBE" space_group="No. 123" n_ef_per_ev_cell=2.52 total_magnetization_mub_per_fu=0.002 pbc="T T T"
Li 0.0000 0.0000 0.0000
P 0.0000 0.0000 2.5331
C 1.6166 1.6166 2.5331
O 0.0000 1.6166 0.0000
O 1.6166 0.0000 0.0000

Run ii
5
Lattice="3.9222 0.0000 0.0000 0.0000 3.9222 0.0000 0.0000 0.0000 3.4756" Properties=species:S:1:pos:R:3 comment="LiPCO2, optimized geometry, DFT GGA-PBE" space_group="No. 123" n_ef_per_ev_cell=1.50 total_magnetization_mub_per_fu=0.000 pbc="T T T"
Li 0.0000 0.0000 0.0000
P 1.9611 1.9611 0.0000
C 1.9611 1.9611 1.7378
O 0.0000 1.9611 1.7378
O 1.9611 0.0000 1.7378

Best to worst by energy: run ii, run i.

Run i
22
Lattice="5.7453 0.0000 0.0000 0.0000 6.3106 0.0000 -0.5594 0.0000 8.6343" Properties=species:S:1:pos:R:3 comment="LiTiPCO7, optimized geometry, DFT GGA-PBE" space_group="No. 4" n_ef_per_ev_cell=0.00 total_magnetization_mub_per_fu=0.061 pbc="T T T"
Li 1.3344 0.0000 1.4113
Li 3.8514 3.1553 7.2230
Ti 1.2867 3.8166 5.7066
Ti 3.8992 0.6613 2.9278
P 1.0618 0.6521 4.6426
P 4.1241 3.8075 3.9918
C 0.8642 4.1271 8.1223
C 4.3216 0.9718 0.5120
O -0.1331 3.8088 4.4130
O -0.0691 3.8890 7.1891
O 1.1948 4.5339 0.6269
O 1.3695 1.8954 5.5006
O 1.3723 5.7265 5.5067
O 1.9302 0.6203 3.3604
O 2.0589 3.9196 7.5808
O 3.1270 0.7643 1.0536
O 3.2557 3.7756 5.2740
O 3.8135 2.5711 3.1276
O 3.8163 5.0507 3.1337
O 3.9910 1.3786 8.0075
O 5.2549 0.7337 1.4453
O 5.3189 0.6535 4.2213

Run ii
22
Lattice="5.1881 0.0000 0.0000 0.0000 6.4163 0.0000 -1.1237 0.0000 8.4105" Properties=species:S:1:pos:R:3 comment="LiTiPCO7, optimized geometry, DFT GGA-PBE" space_group="No. 11" n_ef_per_ev_cell=0.00 total_magnetization_mub_per_fu=0.069 pbc="T T T"
Li 0.8041 1.6041 0.8305
Li 3.2604 4.8122 7.5800
Ti 0.7813 4.8122 2.6980
Ti 3.2832 1.6041 5.7125
P 0.7567 1.6041 3.5340
P 3.3077 4.8122 4.8765
C 1.8761 4.8122 0.4843
C 2.1884 1.6041 7.9263
O -0.3174 1.6041 4.6210
O 0.5360 4.8122 0.6622
O 0.6424 0.3847 2.5843
O 0.6424 2.8234 2.5843
O 1.3073 4.8122 7.7863
O 1.9074 4.8122 4.2074
O 1.5746 1.6041 6.7668
O 2.4899 4.8122 1.6437
O 2.1570 1.6041 4.2031
O 2.7571 1.6041 0.6243
O 3.4220 3.5928 5.8262
O 3.4220 6.0315 5.8262
O 3.5284 1.6041 7.7483
O 4.3818 4.8122 3.7895

Best to worst by energy: run i, run ii.